Compound: HfCoAg
Source: Alexandria
Functional: PBE-GGA
Structure: relaxed

The structure in CIF format:
```
data_HfCoAg
_symmetry_space_group_name_H-M 'P 1'
_symmetry_Int_Tables_number 1
_symmetry_space_group_name_Hall 'P 1'
_cell_length_a 3.082
_cell_length_b 3.092
_cell_length_c 12.890
_cell_angle_alpha 83.17
_cell_angle_beta 83.14
_cell_angle_gamma 60.16
loop_
_atom_site_label
_atom_site_fract_x
_atom_site_fract_y
_atom_site_fract_z
Hf1 0.000 0.000 0.000
Hf2 0.261 0.266 0.214
Co1 0.713 0.709 0.863
Co2 0.881 0.883 0.355
Ag1 0.100 0.098 0.700
Ag2 0.493 0.493 0.520
```

ΔE_f	0.23	eV per atom
total energy	-0.2355	hartree per atom
Fermi-level density of states	6.6	states/eV/cell